VASP calculation (PBE) on a relaxed structure of ScAl2Ir.

## Properties
Symmetry   Immm (71)
Magnetization   0.00 μB/atom
Energy of formation from the pure elements   -546 meV per atom
V   68 Å³ per cell

The structure in POSCAR format:
```
ScAl2Ir
1.0
5.583 0.005 0.000
2.769 4.848 0.000
-3.560 -3.487 2.518
Al Sc Ir
2 1 1
direct
0.531 0.531 0.000
0.969 0.969 0.000
0.250 0.750 0.500
0.750 0.250 0.500
```

=====

VASP calculation (PBE) on a relaxed structure of Mo4Rh5.

## Properties
Symmetry   P6_3/mcm (193)
Magnetization   0.00 μB/atom
Energy of formation from the pure elements   -55 meV per atom
V   271 Å³ per cell

The structure in POSCAR format:
```
Mo4Rh5
1.0
-4.805 -2.415 5.333
2.437 -1.068 7.091
-1.256 5.174 1.211
Rh Mo
10 8
direct
0.335 0.000 0.750
0.667 0.667 0.500
0.665 0.000 0.250
0.333 0.333 0.000
0.000 0.335 0.250
0.665 0.335 0.750
0.333 0.333 0.500
0.335 0.665 0.250
0.667 0.667 0.000
0.000 0.665 0.750
0.000 0.329 0.750
0.000 0.000 0.000
0.329 0.000 0.250
0.000 0.671 0.250
0.671 0.329 0.250
0.671 0.000 0.750
0.329 0.671 0.750
0.000 0.000 0.500
```